A relaxed structure of SnAu3Br. Source: Alexandria, functional PBE.

ΔE_f (raw)	0.82	eV/atom
DFT total energy	-11.425	eV for the cell shown
space group	Pm-3m (221)

Structure (extended XYZ):
```
5
Lattice="5.1616 0.0000 0.0000 0.0000 5.1616 0.0000 0.0000 0.0000 5.1616" Properties=species:S:1:pos:R:3 pbc="T T T"
Sn 0.0000 0.0000 0.0000
Au 0.0000 2.5808 2.5808
Au 2.5808 0.0000 2.5808
Au 2.5808 2.5808 0.0000
Br 2.5808 2.5808 2.5808
```

---

A relaxed structure of Tb4YAl2. Source: Alexandria, functional PBE.

DFT total energy	-33.920	eV for the cell shown
space group	R-3m (166)
formation energy from the elements	-0.207	eV/atom

Structure (extended XYZ):
```
7
Lattice="2.6402 1.5243 7.8659 -2.6402 1.5243 7.8659 0.0000 -3.0486 7.8659" Properties=species:S:1:pos:R:3 pbc="T T T"
Tb 0.0000 0.0000 1.9532
Tb 0.0000 0.0000 8.1817
Tb 0.0000 0.0000 15.4162
Tb 0.0000 0.0000 21.6446
Y 0.0000 0.0000 11.7989
Al 0.0000 0.0000 5.1424
Al 0.0000 0.0000 18.4554
```

---

A relaxed structure of ZnC3. Source: Alexandria, functional PBE.

DFT total energy	-31.760	eV for the cell shown
space group	Pm-3n (223)
formation energy from the elements	3.266	eV/atom

Structure (extended XYZ):
```
8
Lattice="4.1670 0.0000 0.0000 0.0000 4.1670 0.0000 0.0000 0.0000 4.1670" Properties=species:S:1:pos:R:3 pbc="T T T"
Zn 0.0000 0.0000 0.0000
Zn 2.0835 2.0835 2.0835
C 0.0000 1.0417 2.0835
C 0.0000 3.1252 2.0835
C 1.0417 2.0835 0.0000
C 2.0835 0.0000 1.0417
C 2.0835 0.0000 3.1252
C 3.1252 2.0835 0.0000
```

---

A relaxed structure of KCoAgI2. Source: Alexandria, functional PBE.

ΔE_f (raw)	0.14	eV/atom
DFT total energy	-13.435	eV for the cell shown
space group	P4/mmm (123)

Structure (extended XYZ):
```
5
Lattice="5.9352 0.0000 0.0000 0.0000 5.9352 0.0000 0.0000 0.0000 4.9951" Properties=species:S:1:pos:R:3 pbc="T T T"
K 0.0000 0.0000 0.0000
Co 2.9676 2.9676 0.0000
Ag 2.9676 2.9676 2.4976
I 0.0000 2.9676 2.4976
I 2.9676 0.0000 2.4976
```

---

A relaxed structure of KInSi4. Source: Alexandria, functional PBE.

ΔE_f (raw)	0.37	eV/atom
DFT total energy	-23.311	eV for the cell shown
space group	F-43m (216)

Structure (extended XYZ):
```
6
Lattice="0.0000 3.8952 3.8952 3.8952 0.0000 3.8952 3.8952 3.8952 0.0000" Properties=species:S:1:pos:R:3 pbc="T T T"
K 0.0000 0.0000 0.0000
In 1.9476 1.9476 1.9476
Si 4.8916 2.8988 2.8988
Si 2.8988 4.8916 2.8988
Si 2.8988 2.8988 4.8916
Si 4.8916 4.8916 4.8916
```

---

A relaxed structure of CrSnSb2I. Source: Alexandria, functional PBE.

ΔE_f (raw)	0.96	eV/atom
DFT total energy	-18.607	eV for the cell shown
space group	P4/mmm (123)

Structure (extended XYZ):
```
5
Lattice="5.7019 0.0000 0.0000 0.0000 5.7019 0.0000 0.0000 0.0000 5.9433" Properties=species:S:1:pos:R:3 pbc="T T T"
Cr 0.0000 0.0000 0.0000
Sn 2.8510 2.8510 2.9717
Sb 0.0000 2.8510 2.9717
Sb 2.8510 0.0000 2.9717
I 2.8510 2.8510 0.0000
```

---

A relaxed structure of Cs3TeF. Source: Alexandria, functional PBE.

ΔE_f (raw)	-1.48	eV/atom
DFT total energy	-29.913	eV for the cell shown
space group	Cmcm (63)

Structure (extended XYZ):
```
10
Lattice="3.9879 -10.1007 0.0000 3.9879 10.1007 0.0000 0.0000 0.0000 7.4387" Properties=species:S:1:pos:R:3 pbc="T T T"
Cs 0.0000 0.0000 0.0000
Cs 0.0000 0.0000 3.7193
Cs 2.1154 3.8033 5.5790
Cs 2.1154 -3.8033 1.8597
Cs 5.8604 3.8033 5.5790
Cs 5.8604 -3.8033 1.8597
Te 3.9879 3.1614 1.8597
Te 3.9879 -3.1614 5.5790
F 3.9879 8.0903 1.8597
F 3.9879 -8.0903 5.5790
```

---

A relaxed structure of Ac2CuN. Source: Alexandria, functional PBE.

ΔE_f (raw)	-0.11	eV/atom
DFT total energy	-21.069	eV for the cell shown
space group	P4/mmm (123)

Structure (extended XYZ):
```
4
Lattice="3.4954 0.0000 0.0000 0.0000 3.4954 0.0000 0.0000 0.0000 7.2845" Properties=species:S:1:pos:R:3 pbc="T T T"
Ac 0.0000 0.0000 1.5946
Ac 0.0000 0.0000 5.6899
Cu 1.7477 1.7477 3.6422
N 1.7477 1.7477 0.0000
```

---

A relaxed structure of Na2GaGeSe4. Source: Alexandria, functional PBE.

ΔE_f (raw)	-0.66	eV/atom
DFT total energy	-29.522	eV for the cell shown
space group	I-4 (82)

Structure (extended XYZ):
```
8
Lattice="-3.3415 3.3415 5.2282 3.3415 -3.3415 5.2282 3.3415 3.3415 -5.2282" Properties=species:S:1:pos:R:3 pbc="T T T"
Na 0.0000 0.0000 0.0000
Na 0.0000 3.3415 2.6141
Ga 0.0000 0.0000 5.2282
Ge 3.3415 0.0000 2.6141
Se 1.7352 2.0140 -1.2806
Se 4.6689 1.7352 1.2806
Se 1.6063 1.3274 3.9476
Se -1.3274 1.6063 6.5088
```

---

A relaxed structure of Ag5Sn12Bi3. Source: Alexandria, functional PBE.

DFT total energy	-277.223	eV for the cell shown
space group	Ia-3d (230)
formation energy from the elements	0.231	eV/atom

Structure (extended XYZ):
```
80
Lattice="-8.6104 8.6104 8.6104 8.6104 -8.6104 8.6104 8.6104 8.6104 -8.6104" Properties=species:S:1:pos:R:3 pbc="T T T"
Ag 0.0000 0.0000 0.0000
Ag 4.3052 4.3052 -4.3052
Ag 4.3052 -4.3052 4.3052
Ag 8.6104 0.0000 0.0000
Ag 12.9156 2.1526 0.0000
Ag 8.6104 -4.3052 6.4578
Ag 6.4578 8.6104 -4.3052
Ag 6.4578 0.0000 4.3052
Ag 4.3052 6.4578 0.0000
Ag 8.6104 4.3052 2.1526
Ag -4.3052 4.3052 4.3052
Ag 0.0000 8.6104 0.0000
Ag 0.0000 0.0000 8.6104
Ag 4.3052 4.3052 4.3052
Ag 0.0000 4.3052 6.4578
Ag 4.3052 2.1526 8.6104
Ag 2.1526 8.6104 4.3052
Ag 2.1526 0.0000 12.9156
Ag 0.0000 12.9156 2.1526
Ag -4.3052 6.4578 8.6104
Sn 2.5542 -0.2824 1.1606
Sn 10.3614 5.4658 -4.5876
Sn 8.3280 -1.1606 2.5542
Sn 13.1980 -1.7510 3.1446
Sn 11.1646 0.2824 1.1606
Sn 10.3614 -3.1446 4.5876
Sn 1.1606 2.5542 -0.2824
Sn 11.7550 4.0228 -1.7510
Sn 5.4658 4.5876 -1.7510
Sn 7.4498 2.5542 0.2824
Sn -0.2824 1.1606 2.5542
Sn 4.5876 -1.7510 5.4658
Sn 8.3280 7.4498 -2.5542
Sn 4.5876 1.7510 3.1446
Sn 7.4498 -2.5542 8.3280
Sn 5.4658 -4.5876 10.3614
Sn 3.1446 4.5876 1.7510
Sn 9.7710 6.0562 0.2824
Sn 2.5542 8.3280 -1.1606
Sn 10.3614 3.1446 4.0228
Sn 4.5876 10.3614 -3.1446
Sn 8.3280 1.1606 6.0562
Sn 1.7510 3.1446 4.5876
Sn 2.5542 0.2824 7.4498
Sn 6.0562 8.3280 1.1606
Sn 6.8594 5.4658 4.0228
Sn 0.2824 7.4498 2.5542
Sn 4.0228 -1.7510 11.7550
Sn -1.7510 5.4658 4.5876
Sn 6.0562 0.2824 9.7710
Sn -1.1606 2.5542 8.3280
Sn 5.4658 4.0228 6.8594
Sn 3.1446 13.1980 -1.7510
Sn 1.1606 11.1646 0.2824
Sn 4.0228 6.8594 5.4658
Sn 0.2824 1.1606 11.1646
Sn 4.0228 10.3614 3.1446
Sn 8.8928 7.4498 6.0562
Sn 1.1606 6.0562 8.3280
Sn 3.1446 4.0228 10.3614
Sn -3.1446 4.5876 10.3614
Sn 7.4498 6.0562 8.8928
Sn -1.7510 11.7550 4.0228
Sn -2.5542 8.3280 7.4498
Sn -4.5876 10.3614 5.4658
Sn 0.2824 9.7710 6.0562
Sn -1.7510 3.1446 13.1980
Sn 6.0562 8.8928 7.4498
Bi 4.3052 2.1526 0.0000
Bi 8.6104 4.3052 -2.1526
Bi 2.1526 0.0000 4.3052
Bi 10.7630 0.0000 4.3052
Bi 0.0000 4.3052 2.1526
Bi 4.3052 -2.1526 8.6104
Bi 4.3052 10.7630 0.0000
Bi 8.6104 4.3052 6.4578
Bi -2.1526 8.6104 4.3052
Bi 6.4578 8.6104 4.3052
Bi 0.0000 4.3052 10.7630
Bi 4.3052 6.4578 8.6104
```

---

A relaxed structure of Hf4AsPd2. Source: Alexandria, functional PBE.

DFT total energy	-55.510	eV for the cell shown
space group	I4/mmm (139)
formation energy from the elements	-0.094	eV/atom

Structure (extended XYZ):
```
7
Lattice="-2.4409 2.4409 6.6357 2.4409 -2.4409 6.6357 2.4409 2.4409 -6.6357" Properties=species:S:1:pos:R:3 pbc="T T T"
Hf 2.4409 0.0000 0.0000
Hf 0.0000 0.0000 2.6083
Hf 0.0000 2.4409 0.0000
Hf 0.0000 0.0000 10.6632
As 0.0000 0.0000 0.0000
Pd 0.0000 0.0000 5.1156
Pd 0.0000 0.0000 8.1558
```

---

A relaxed structure of NaLaTi2As. Source: Alexandria, functional PBE.

DFT total energy	-20.735	eV for the cell shown
space group	P4/mmm (123)
formation energy from the elements	1.190	eV/atom

Structure (extended XYZ):
```
5
Lattice="4.7823 0.0000 0.0000 0.0000 4.7823 0.0000 0.0000 0.0000 5.5352" Properties=species:S:1:pos:R:3 pbc="T T T"
Na 0.0000 0.0000 0.0000
La 0.0000 0.0000 2.7676
Ti 0.0000 2.3912 0.0000
Ti 2.3912 0.0000 0.0000
As 2.3912 2.3912 2.7676
```

---

A relaxed structure of LiCu2H6Ru. Source: Alexandria, functional PBE.

DFT total energy	-39.710	eV for the cell shown
space group	P1 (1)

Structure (extended XYZ):
```
10
Lattice="4.5094 0.0000 0.0000 -2.1920 4.0141 0.0000 -2.1779 -1.2869 4.2525" Properties=species:S:1:pos:R:3 pbc="T T T"
Li 0.0000 0.0000 0.0000
Cu 0.0130 -0.0110 2.6911
Cu 0.0286 2.7452 1.4258
H -1.1655 2.1249 0.1752
H -0.8717 1.4851 2.2988
H 1.1860 2.0003 0.0887
H 2.3466 0.1033 0.0672
H 1.7506 0.1495 2.3840
H 1.5403 2.4710 2.3596
Ru 2.2686 1.3563 1.2018
```

---

A relaxed structure of Na2BiHPt. Source: Alexandria, functional PBE.

DFT total energy	-16.517	eV for the cell shown
space group	P4/mmm (123)

Structure (extended XYZ):
```
5
Lattice="4.6185 0.0000 0.0000 0.0000 4.6185 0.0000 0.0000 0.0000 4.1148" Properties=species:S:1:pos:R:3 pbc="T T T"
Na 0.0000 2.3092 0.0000
Na 2.3092 0.0000 0.0000
Bi 0.0000 0.0000 2.0574
H 2.3092 2.3092 0.0000
Pt 2.3092 2.3092 2.0574
```

---

A relaxed structure of Tl2Hg6Bi. Source: Alexandria, functional PBE.

DFT total energy	-10.001	eV for the cell shown
space group	C2/m (12)
formation energy from the elements	0.047	eV/atom

Structure (extended XYZ):
```
9
Lattice="8.1529 -4.7119 0.0000 8.1529 4.7119 0.0000 -0.0036 0.0000 3.3054" Properties=species:S:1:pos:R:3 pbc="T T T"
Tl 2.7174 0.0000 0.0001
Tl 13.5847 0.0000 3.3052
Hg 5.4558 1.5576 1.6582
Hg 8.1511 3.1155 1.6527
Hg 5.4558 -1.5576 1.6582
Hg 10.8464 1.5576 1.6472
Hg 8.1511 -3.1155 1.6527
Hg 10.8464 -1.5576 1.6472
Bi 8.1529 0.0000 0.0000
```